DFT (PBE) results for a relaxed structure of Ac5La12Er2.

Values from the calculation:
- magnetic moment (μB per formula unit) = 0.000
- density of states at the Fermi level (states/eV per cell) = 32.4
- symmetry = No. 12
- formation enthalpy at 0 K (eV/atom) = 0.092

a b c (Å): 6.4895 11.1799 11.1799
angles (deg): 67.06 79.71 79.71
Fractional positions:
Ac: 0.4310 0.2161 0.2161
Ac: 0.8579 0.3272 0.3272
Ac: 0.5000 0.0000 0.0000
Ac: 0.1421 0.6728 0.6728
Ac: 0.5690 0.7839 0.7839
La: 0.0053 0.8812 0.8812
La: 0.1933 0.5584 0.0501
La: 0.1933 0.0501 0.5584
La: 0.6151 0.6423 0.1571
La: 0.6151 0.1571 0.6423
La: 0.2720 0.4497 0.4497
La: 0.7280 0.5503 0.5503
La: 0.3849 0.3577 0.8429
La: 0.3849 0.8429 0.3577
La: 0.8067 0.4416 0.9499
La: 0.8067 0.9499 0.4416
La: 0.9947 0.1188 0.1188
Er: 0.0000 0.2308 0.7692
Er: 0.0000 0.7692 0.2308


DFT (PBE) results for a relaxed structure of Pm2UTl3Te6.

Values from the calculation:
- magnetic moment (μB per formula unit) = 3.022
- raw formation energy (eV per formula unit) = -10.6
- density of states at the Fermi level (states/eV per cell) = 4.9
- symmetry = No. 12

a b c (Å): 7.8175 7.8175 8.6227
angles (deg): 98.69 98.69 119.99
Last column: magnetic moment on the atom in μB.
Fractional positions:
Pm: 0.3334 0.6666 0.0000  0.05
Pm: 0.6666 0.3334 0.0000  0.05
U: 0.0000 0.0000 0.0000  2.70
Tl: 0.1671 0.8329 0.5000  0.00
Tl: 0.8329 0.1671 0.5000  0.00
Tl: 0.5000 0.5000 0.5000  0.00
Te: 0.9273 0.5968 0.7816  -0.02
Te: 0.7428 0.7428 0.2192  -0.02
Te: 0.0727 0.4032 0.2184  -0.02
Te: 0.5968 0.9273 0.7816  -0.02
Te: 0.2572 0.2572 0.7808  -0.02
Te: 0.4032 0.0727 0.2184  -0.02


Which of these has the lowest magnetic moment?
Ac5La12Er2